Record 1
ZrBeRh3 at its PBEsol-relaxed geometry. Source: the Alexandria database, functional meta-GGA SCAN.

Properties
energy of formation from the pure elements	1.219	eV per atom
space group	Pm-3m (221)

Structure (POSCAR):
```
ZrBeRh3
1.0
4.6539 0.0000 0.0000
0.0000 4.6539 0.0000
0.0000 0.0000 4.6539
Zr Be Rh
1 1 3
Direct
0.0000 0.0000 0.0000
0.5000 0.5000 0.5000
0.0000 0.0000 0.5000
0.0000 0.5000 0.0000
0.5000 0.0000 0.0000
```

=====

Record 2
Zr2BeRh at its PBEsol-relaxed geometry. Source: the Alexandria database, functional meta-GGA SCAN.

Properties
energy of formation from the pure elements	-0.232	eV per atom
space group	F-43m (216)

Structure (POSCAR):
```
Zr2BeRh
1.0
0.0000 3.1605 3.1605
3.1605 0.0000 3.1605
3.1605 3.1605 0.0000
Zr Be Rh
2 1 1
Direct
0.0000 0.0000 0.0000
0.2500 0.2500 0.2500
0.7500 0.7500 0.7500
0.5000 0.5000 0.5000
```

=====

Record 3
ZrBeRh2 at its PBEsol-relaxed geometry. Source: the Alexandria database, functional meta-GGA SCAN.

Properties
energy of formation from the pure elements	-0.279	eV per atom
space group	F-43m (216)

Structure (POSCAR):
```
ZrBeRh2
1.0
0.0000 3.0673 3.0673
3.0673 0.0000 3.0673
3.0673 3.0673 0.0000
Zr Be Rh
1 1 2
Direct
0.0000 0.0000 0.0000
0.2500 0.2500 0.2500
0.5000 0.5000 0.5000
0.7500 0.7500 0.7500
```

=====

Record 4
ZrBe2Rh at its PBEsol-relaxed geometry. Source: the Alexandria database, functional meta-GGA SCAN.

Properties
energy of formation from the pure elements	-0.570	eV per atom
space group	R-3m (166)

Structure (POSCAR):
```
ZrBe2Rh
1.0
1.8714 1.0804 4.4076
-1.8714 1.0804 4.4076
0.0000 -2.1609 4.4076
Zr Be Rh
1 2 1
Direct
0.0000 0.0000 0.0000
0.2070 0.2070 0.2070
0.7930 0.7930 0.7930
0.5000 0.5000 0.5000
```

=====

Record 5
ZrBeRh2 at its PBEsol-relaxed geometry. Source: the Alexandria database, functional meta-GGA SCAN.

Properties
energy of formation from the pure elements	-0.692	eV per atom
space group	Imm2 (44)

Structure (POSCAR):
```
ZrBeRh2
1.0
-1.7807 1.8701 4.2096
1.7807 -1.8701 4.2096
1.7807 1.8701 -4.2096
Zr Be Rh
1 1 2
Direct
0.0000 0.0000 0.0000
0.2537 0.7537 0.5000
0.4943 0.4943 0.0000
0.7479 0.2479 0.5000
```

=====

Record 6
BeRu3 at its PBEsol-relaxed geometry. Source: the Alexandria database, functional meta-GGA SCAN.

Properties
energy of formation from the pure elements	0.048	eV per atom
space group	R-3m (166)

Structure (POSCAR):
```
BeRu3
1.0
1.3275 0.7665 8.0671
-1.3275 0.7665 8.0671
0.0000 -1.5329 8.0671
Be Ru
1 3
Direct
0.0000 0.0000 0.0000
0.2550 0.2550 0.2550
0.5000 0.5000 0.5000
0.7450 0.7450 0.7450
```

=====

Record 7
BeRu3 at its PBEsol-relaxed geometry. Source: the Alexandria database, functional meta-GGA SCAN.

Properties
energy of formation from the pure elements	-0.124	eV per atom
space group	P4/mmm (123)

Structure (POSCAR):
```
BeRu3
1.0
2.7332 0.0000 0.0000
0.0000 2.7332 0.0000
0.0000 0.0000 6.3686
Be Ru
1 3
Direct
0.0000 0.0000 0.0000
0.0000 0.0000 0.5000
0.5000 0.5000 0.2179
0.5000 0.5000 0.7821
```

=====

Record 8
Be4Ru at its PBEsol-relaxed geometry. Source: the Alexandria database, functional meta-GGA SCAN.

Properties
energy of formation from the pure elements	-0.069	eV per atom
space group	I4/mmm (139)

Structure (POSCAR):
```
Be4Ru
1.0
-1.5041 1.5041 4.9838
1.5041 -1.5041 4.9838
1.5041 1.5041 -4.9838
Be Ru
4 1
Direct
0.0986 0.0986 0.0000
0.2500 0.7500 0.5000
0.7500 0.2500 0.5000
0.9014 0.9014 0.0000
0.5000 0.5000 0.0000
```

=====

Record 9
Be3Ru5 at its PBEsol-relaxed geometry. Source: the Alexandria database, functional meta-GGA SCAN.

Properties
energy of formation from the pure elements	-0.218	eV per atom
space group	I4/mcm (140)

Structure (POSCAR):
```
Be3Ru5
1.0
-4.4326 4.4326 2.2967
4.4326 -4.4326 2.2967
4.4326 4.4326 -2.2967
Be Ru
6 10
Direct
0.1713 0.6713 0.8426
0.2500 0.2500 0.0000
0.3287 0.1713 0.5000
0.6713 0.8287 0.5000
0.7500 0.7500 0.0000
0.8287 0.3287 0.1574
0.0748 0.2226 0.2975
0.2226 0.9252 0.1478
0.2500 0.7500 0.5000
0.2774 0.4252 0.7025
0.4252 0.7226 0.1478
0.5748 0.2774 0.8522
0.7226 0.5748 0.2975
0.7500 0.2500 0.5000
0.7774 0.0748 0.8522
0.9252 0.7774 0.7025
```

=====

Record 10
Be4Ru at its PBEsol-relaxed geometry. Source: the Alexandria database, functional meta-GGA SCAN.

Properties
energy of formation from the pure elements	0.438	eV per atom
space group	Im-3m (229)

Structure (POSCAR):
```
Be4Ru
1.0
-2.5336 2.5336 2.5336
2.5336 -2.5336 2.5336
2.5336 2.5336 -2.5336
Be Ru
4 1
Direct
0.0000 0.0000 0.5000
0.0000 0.5000 0.0000
0.5000 0.0000 0.0000
0.5000 0.5000 0.5000
0.0000 0.0000 0.0000
```

=====

Record 11
BeRu3 at its PBEsol-relaxed geometry. Source: the Alexandria database, functional meta-GGA SCAN.

Properties
energy of formation from the pure elements	0.031	eV per atom
space group	Pmm2 (25)

Structure (POSCAR):
```
BeRu3
1.0
2.6893 0.0000 0.0000
0.0000 4.1000 0.0000
0.0000 0.0000 4.5145
Be Ru
1 3
Direct
0.0000 0.0000 0.0000
0.0000 0.5000 0.3163
0.5000 0.0000 0.5313
0.5000 0.5000 0.8444
```

=====

Record 12
Be24Ru5 at its PBEsol-relaxed geometry. Source: the Alexandria database, functional meta-GGA SCAN.

Properties
energy of formation from the pure elements	-0.286	eV per atom
space group	I-43m (217)

Structure (POSCAR):
```
Be24Ru5
1.0
-4.0048 4.0048 4.0048
4.0048 -4.0048 4.0048
4.0048 4.0048 -4.0048
Be Ru
24 5
Direct
0.0000 0.1861 0.3660
0.0000 0.3660 0.1861
0.0000 0.3817 0.6801
0.0000 0.6801 0.3817
0.1799 0.8139 0.8139
0.1861 0.0000 0.3660
0.1861 0.3660 0.0000
0.2984 0.6183 0.6183
0.3199 0.3199 0.7016
0.3199 0.7016 0.3199
0.3660 0.0000 0.1861
0.3660 0.1861 0.0000
0.3817 0.0000 0.6801
0.3817 0.6801 0.0000
0.6183 0.2984 0.6183
0.6183 0.6183 0.2984
0.6340 0.6340 0.8201
0.6340 0.8201 0.6340
0.6801 0.0000 0.3817
0.6801 0.3817 0.0000
0.7016 0.3199 0.3199
0.8139 0.1799 0.8139
0.8139 0.8139 0.1799
0.8201 0.6340 0.6340
0.0000 0.0000 0.0000
0.0000 0.0000 0.6098
0.0000 0.6098 0.0000
0.3902 0.3902 0.3902
0.6098 0.0000 0.0000
```

=====

Record 13
BeRu3 at its PBEsol-relaxed geometry. Source: the Alexandria database, functional meta-GGA SCAN.

Properties
energy of formation from the pure elements	0.012	eV per atom
space group	P2/m (10)

Structure (POSCAR):
```
BeRu3
1.0
2.6559 0.0000 0.0000
0.0000 3.8170 0.0000
-1.1169 0.0000 4.8476
Be Ru
1 3
Direct
0.0000 0.0000 0.0000
0.0000 0.0000 0.5000
0.3845 0.5000 0.2317
0.6155 0.5000 0.7683
```

=====

Record 14
BeSbRu2 at its PBEsol-relaxed geometry. Source: the Alexandria database, functional meta-GGA SCAN.

Properties
space group	Fm-3m (225)
E_form (uncorrected)	-0.213	eV/atom

Structure (POSCAR):
```
BeSbRu2
1.0
0.0000 3.0037 3.0037
3.0037 0.0000 3.0037
3.0037 3.0037 0.0000
Be Sb Ru
1 1 2
Direct
0.0000 0.0000 0.0000
0.5000 0.5000 0.5000
0.2500 0.2500 0.2500
0.7500 0.7500 0.7500
```

=====

Record 15
BeSbRu2 at its PBEsol-relaxed geometry. Source: the Alexandria database, functional meta-GGA SCAN.

Properties
space group	P4/mmm (123)
E_form (uncorrected)	-0.060	eV/atom

Structure (POSCAR):
```
BeSbRu2
1.0
3.0406 0.0000 0.0000
0.0000 3.0406 0.0000
0.0000 0.0000 5.8684
Be Sb Ru
1 1 2
Direct
0.0000 0.0000 0.0000
0.0000 0.0000 0.5000
0.5000 0.5000 0.2293
0.5000 0.5000 0.7707
```

=====

Record 16
BeSbRu at its PBEsol-relaxed geometry. Source: the Alexandria database, functional meta-GGA SCAN.

Properties
space group	P3m1 (156)
E_form (uncorrected)	0.274	eV/atom

Structure (POSCAR):
```
BeSbRu
1.0
3.0371 0.0000 0.0000
-1.5186 2.6302 0.0000
0.0000 0.0000 5.8285
Be Sb Ru
1 1 1
Direct
0.0000 0.0000 0.0000
0.6667 0.3333 0.3854
0.3333 0.6667 0.7323
```

=====

Record 17
BeSbRu2 at its PBEsol-relaxed geometry. Source: the Alexandria database, functional meta-GGA SCAN.

Properties
space group	Pmm2 (25)
E_form (uncorrected)	0.102	eV/atom

Structure (POSCAR):
```
BeSbRu2
1.0
2.9857 0.0000 0.0000
0.0000 4.3094 0.0000
0.0000 0.0000 4.4275
Be Sb Ru
1 1 2
Direct
0.0000 0.0000 0.0000
0.5000 0.5000 0.7697
0.0000 0.5000 0.2453
0.5000 0.0000 0.4379
```

=====

Record 18
BeSbRu at its PBEsol-relaxed geometry. Source: the Alexandria database, functional meta-GGA SCAN.

Properties
space group	F-43m (216)
E_form (uncorrected)	0.042	eV/atom

Structure (POSCAR):
```
BeSbRu
1.0
0.0000 2.9307 2.9307
2.9307 0.0000 2.9307
2.9307 2.9307 0.0000
Be Sb Ru
1 1 1
Direct
0.0000 0.0000 0.0000
0.5000 0.5000 0.5000
0.2500 0.2500 0.2500
```

=====

Record 19
ScBe2Ru2 at its PBEsol-relaxed geometry. Source: the Alexandria database, functional meta-GGA SCAN.

Properties
energy of formation from the pure elements	-0.555	eV per atom
space group	P4/mbm (127)

Structure (POSCAR):
```
ScBe2Ru2
1.0
6.2738 0.0000 0.0000
0.0000 6.2738 0.0000
0.0000 0.0000 3.0517
Sc Be Ru
2 4 4
Direct
0.0000 0.0000 0.0000
0.5000 0.5000 0.0000
0.1162 0.3838 0.0000
0.3838 0.8838 0.0000
0.6162 0.1162 0.0000
0.8838 0.6162 0.0000
0.1705 0.6705 0.5000
0.3295 0.1705 0.5000
0.6705 0.8295 0.5000
0.8295 0.3295 0.5000
```

=====

Record 20
Sc2BeRu at its PBEsol-relaxed geometry. Source: the Alexandria database, functional meta-GGA SCAN.

Properties
energy of formation from the pure elements	-0.396	eV per atom
space group	P4/mmm (123)

Structure (POSCAR):
```
Sc2BeRu
1.0
4.4033 0.0000 0.0000
0.0000 4.4033 0.0000
0.0000 0.0000 3.2536
Sc Be Ru
2 1 1
Direct
0.0000 0.5000 0.0000
0.5000 0.0000 0.0000
0.0000 0.0000 0.5000
0.5000 0.5000 0.5000
```

=====

Record 21
ScBe2Ru at its PBEsol-relaxed geometry. Source: the Alexandria database, functional meta-GGA SCAN.

Properties
energy of formation from the pure elements	-0.409	eV per atom
space group	P4/mmm (123)

Structure (POSCAR):
```
ScBe2Ru
1.0
3.0096 0.0000 0.0000
0.0000 3.0096 0.0000
0.0000 0.0000 5.4902
Sc Be Ru
1 2 1
Direct
0.0000 0.0000 0.0000
0.5000 0.5000 0.3087
0.5000 0.5000 0.6913
0.0000 0.0000 0.5000
```

=====

Record 22
Sc3BeRu at its PBEsol-relaxed geometry. Source: the Alexandria database, functional meta-GGA SCAN.

Properties
energy of formation from the pure elements	0.238	eV per atom
space group	Pm-3m (221)

Structure (POSCAR):
```
Sc3BeRu
1.0
4.8743 0.0000 0.0000
0.0000 4.8743 0.0000
0.0000 0.0000 4.8743
Sc Be Ru
3 1 1
Direct
0.0000 0.0000 0.5000
0.0000 0.5000 0.0000
0.5000 0.0000 0.0000
0.5000 0.5000 0.5000
0.0000 0.0000 0.0000
```

=====

Record 23
ScBe4Ru at its PBEsol-relaxed geometry. Source: the Alexandria database, functional meta-GGA SCAN.

Properties
energy of formation from the pure elements	-0.399	eV per atom
space group	F-43m (216)

Structure (POSCAR):
```
ScBe4Ru
1.0
0.0000 3.1660 3.1660
3.1660 0.0000 3.1660
3.1660 3.1660 0.0000
Sc Be Ru
1 4 1
Direct
0.0000 0.0000 0.0000
0.1309 0.6230 0.6230
0.6230 0.1309 0.6230
0.6230 0.6230 0.1309
0.6230 0.6230 0.6230
0.2500 0.2500 0.2500
```

=====

Record 24
Sc2BeRu at its PBEsol-relaxed geometry. Source: the Alexandria database, functional meta-GGA SCAN.

Properties
energy of formation from the pure elements	0.405	eV per atom
space group	R-3m (166)

Structure (POSCAR):
```
Sc2BeRu
1.0
1.5076 0.8704 9.4156
-1.5076 0.8704 9.4156
0.0000 -1.7409 9.4156
Sc Be Ru
2 1 1
Direct
0.0971 0.0971 0.0971
0.9029 0.9029 0.9029
0.0000 0.0000 0.0000
0.5000 0.5000 0.5000
```

=====

Record 25
ScBe2Ru at its PBEsol-relaxed geometry. Source: the Alexandria database, functional meta-GGA SCAN.

Properties
energy of formation from the pure elements	-0.336	eV per atom
space group	I4/mmm (139)

Structure (POSCAR):
```
ScBe2Ru
1.0
-1.8805 1.8805 3.4667
1.8805 -1.8805 3.4667
1.8805 1.8805 -3.4667
Sc Be Ru
1 2 1
Direct
0.0000 0.0000 0.0000
0.2500 0.7500 0.5000
0.7500 0.2500 0.5000
0.5000 0.5000 0.0000
```

=====

Record 26
ScBeRu at its PBEsol-relaxed geometry. Source: the Alexandria database, functional meta-GGA SCAN.

Properties
energy of formation from the pure elements	-0.492	eV per atom
space group	I4mm (107)

Structure (POSCAR):
```
ScBeRu
1.0
-1.5480 1.5480 4.3672
1.5480 -1.5480 4.3672
1.5480 1.5480 -4.3672
Sc Be Ru
1 1 1
Direct
0.0000 0.0000 0.0000
0.2950 0.2950 0.0000
0.6957 0.6957 0.0000
```

=====

Record 27
ScBe2Ru at its PBEsol-relaxed geometry. Source: the Alexandria database, functional meta-GGA SCAN.

Properties
energy of formation from the pure elements	-0.351	eV per atom
space group	C2/m (12)

Structure (POSCAR):
```
ScBe2Ru
1.0
3.9656 -1.6247 0.0000
3.9656 1.6247 0.0000
-1.5786 0.0000 4.0612
Sc Be Ru
1 2 1
Direct
0.0000 0.0000 0.0000
0.2272 0.2272 0.6422
0.7728 0.7728 0.3578
0.5000 0.5000 0.5000
```

=====

Record 28
BeRu2Se at its PBEsol-relaxed geometry. Source: the Alexandria database, functional meta-GGA SCAN.

Properties
space group	Cmm2 (35)
E_form (uncorrected)	0.513	eV/atom

Structure (POSCAR):
```
BeRu2Se
1.0
1.4242 -2.3323 0.0000
1.4242 2.3323 0.0000
0.0000 0.0000 8.2325
Be Ru Se
1 2 1
Direct
0.0000 0.0000 0.0000
0.0000 0.0000 0.5258
0.5000 0.5000 0.7893
0.5000 0.5000 0.2665
```

=====

Record order is preserved below.
VASP energy: -130.27; -100.45; -103.71; -75.46; -105.36; -108.64; -109.33; -52.58; -377.87; -50.05; -108.71; -286.91; -108.79; -112.12; -111.51; -75.62; -110.86; -76.31; -190.74; -69.24; -59.41; -80.70; -68.87; -66.03; -59.12; -54.89; -59.17; -92.03 eV/cell
Record order is preserved below.
Calculated density: 6.7; 7.7; 8.8; 6.6; 9.1; 10.5; 10.9; 5.0; 9.8; 3.5; 10.4; 4.7; 10.6; 10.2; 10.2; 8.3; 9.7; 7.6; 7.3; 5.3; 5.5; 3.5; 4.8; 4.5; 5.6; 6.2; 5.2; 8.8 g/cm3